LiNiI2O | PBE+U | relaxed

abc: 5.8884 5.8884 3.5485
angles: 90.00 90.00 90.00
Closest atoms and distances in Å follow each position.
Space group P4/mmm (No. 123)
Symmetry-distinct sites (fractional):
Li 0.0000 0.0000 0.0000 (multiplicity 1)  8 I 3.44, 2 Li 3.55
Ni 0.5000 0.5000 0.5000 (multiplicity 1)  2 O 1.77
I 0.0000 0.5000 0.5000 (multiplicity 2)  2 Ni 2.94
O 0.5000 0.5000 0.0000 (multiplicity 1)  2 Ni 1.77

Output
Its calculated total energy is -2.8263 eV/atom. The distance to the lowest polymorph of the same formula comes out at 0 meV per atom.